Record 1
First-principles (PBE) data for a relaxed structure of Na2PrCl4, as listed in the Alexandria database.

Values from the calculation:
Energy relative to the elements, uncorrected, meV/atom: -1855
Symmetry: Imma (74)
Crystal system: orthorhombic

Cell lengths 8.475, 8.475, 8.475 Å; angles 128.44, 118.82, 84.04 degrees
Fractional coordinates of all 14 atoms:
Na  0.000  0.000  0.000
Na  0.378  0.628  0.750
Na  0.500  0.000  0.500
Na  0.622  0.372  0.250
Pr  0.000  0.000  0.500
Pr  0.000  0.500  0.000
Cl  0.225  0.220  0.494
Cl  0.225  0.731  0.006
Cl  0.240  0.229  0.011
Cl  0.282  0.771  0.511
Cl  0.718  0.229  0.489
Cl  0.760  0.771  0.989
Cl  0.775  0.269  0.994
Cl  0.775  0.780  0.506

---

Record 2
First-principles (PBE) data for a relaxed structure of ThSiPd3, as listed in the Alexandria database.

Values from the calculation:
Polymorph energy (0 for the lowest one), eV/atom: 0.000
Energy relative to the elements, uncorrected, meV/atom: -848
Symmetry: I4mm (107)
Crystal system: tetragonal

Cell lengths 6.258, 6.258, 6.258 Å; angles 141.82, 141.82, 55.10 degrees
Fractional coordinates of all 5 atoms:
Th  0.000  0.000  0.000
Si  0.370  0.370  0.000
Pd  0.255  0.755  0.500
Pd  0.584  0.584  0.000
Pd  0.755  0.255  0.500

---

Record 3
First-principles (PBE) data for a relaxed structure of MnCu2I8, as listed in the Alexandria database.

Values from the calculation:
Polymorph energy (0 for the lowest one), eV/atom: 0.000
Energy relative to the elements, uncorrected, meV/atom: -147
Symmetry: C2/m (12)
Crystal system: monoclinic

Cell lengths 8.433, 8.433, 6.907 Å; angles 101.72, 101.72, 89.95 degrees
Fractional coordinates of all 11 atoms:
Mn  0.000  0.000  0.000
Cu  0.199  0.199  0.686
Cu  0.801  0.801  0.314
I  0.066  0.747  0.178
I  0.222  0.222  0.332
I  0.253  0.934  0.822
I  0.425  0.425  0.792
I  0.575  0.575  0.208
I  0.747  0.066  0.178
I  0.778  0.778  0.668
I  0.934  0.253  0.822

---

Record 4
First-principles (PBE) data for a relaxed structure of PrDy2TlHg4, as listed in the Alexandria database.

Values from the calculation:
Calculated formation energy, eV/f.u.: -3.0
Symmetry: R-3m (166)
Crystal system: trigonal

Cell lengths 9.600, 9.600, 9.600 Å; angles 31.35, 31.35, 31.35 degrees
Fractional coordinates of all 8 atoms:
Pr  0.000  0.000  0.000
Dy  0.239  0.239  0.239
Dy  0.761  0.761  0.761
Tl  0.500  0.500  0.500
Hg  0.120  0.120  0.120
Hg  0.376  0.376  0.376
Hg  0.624  0.624  0.624
Hg  0.880  0.880  0.880